Model 1:
Density functional theory data (PBE) for a geometry-optimized V2CrCuBr structure.

Structure (POSCAR):
```
V2CrCuBr
1.0
4.3311 -1.5809 0.0000
4.3311 1.5809 0.0000
-4.1563 0.0000 6.9661
V Cr Cu Br
2 1 1 1
Cartesian
0.0000 0.0000 0.0000 V
3.6023 0.0000 4.5469 V
-1.3871 0.0000 6.0607 Cr
1.1739 0.0000 5.1732 Cu
3.6087 0.0000 1.8453 Br
```

Calculated values
- space group = Cm, No. 8
- magnetization (μB/atom) = 0.000

Model 2:
Density functional theory data (PBE) for a geometry-optimized V2CrCuBr structure.

Structure (POSCAR):
```
V2CrCuBr
1.0
-1.5666 2.0252 6.6609
1.5666 -2.0252 6.6609
1.5666 2.0252 -6.6609
V Cr Cu Br
2 1 1 1
Cartesian
0.0000 0.0000 0.0000 V
0.0000 2.0252 2.0242 V
0.0000 0.0000 6.9850 Cr
1.5666 0.0000 1.9926 Cu
0.0000 0.0000 10.8344 Br
```

Calculated values
- space group = Imm2, No. 44
- magnetization (μB/atom) = 0.000

Model 3:
Density functional theory data (PBE) for a geometry-optimized V2CrCuBr structure.

Structure (POSCAR):
```
V2CrCuBr
1.0
4.0215 0.0000 0.0000
0.0000 1.5739 6.3986
0.0000 -1.5739 6.3986
V Cr Cu Br
2 1 1 1
Cartesian
0.0000 0.0000 0.0000 V
2.0107 0.0000 2.0433 V
0.0000 0.0000 8.0948 Cr
2.0107 0.0000 6.4661 Cu
0.0000 0.0000 4.0109 Br
```

Calculated values
- space group = Amm2, No. 38
- magnetization (μB/atom) = 0.014

Referenced to the most stable arrangement, the calculated values in meV per atom are model 1 88; model 2 0; model 3 18.